Record 1
Compound: Be2FeMo2
Source: Alexandria
Functional: GGA-PBEsol
Structure: relaxed

Values from the calculation:
- formation energy (eV/atom) = -0.09
- symmetry = No. 127
- magnetization (μB per formula unit) = 1.93
- calculated total energy (eV per atom) = -8.186

Cell: 3.237 5.882 5.882 Å, 90.00 90.00 90.00°
Atoms (fractional coordinates):
1 Be 0.000 0.622 0.122
2 Be 0.000 0.878 0.622
3 Be 0.000 0.122 0.378
4 Be 0.000 0.378 0.878
5 Fe 0.000 0.500 0.500
6 Fe 0.000 0.000 0.000
7 Mo 0.500 0.323 0.177
8 Mo 0.500 0.677 0.823
9 Mo 0.500 0.177 0.677
10 Mo 0.500 0.823 0.323

***

Record 2
Compound: BeFe3Mo
Source: Alexandria
Functional: GGA-PBEsol
Structure: relaxed

Values from the calculation:
- formation energy (eV/atom) = 1.81
- symmetry = No. 221
- magnetization (μB per formula unit) = 3.99
- calculated total energy (eV per atom) = -6.725

Cell: 4.325 4.325 4.325 Å, 90.00 90.00 90.00°
Atoms (fractional coordinates):
1 Be 0.500 0.500 0.500
2 Fe 0.000 0.000 0.500
3 Fe 0.000 0.500 0.000
4 Fe 0.500 0.000 0.000
5 Mo 0.000 0.000 0.000

***

Record 3
Compound: BeFeMo2
Source: Alexandria
Functional: GGA-PBEsol
Structure: relaxed

Values from the calculation:
- formation energy (eV/atom) = 0.15
- symmetry = No. 123
- magnetization (μB per formula unit) = 1.92
- calculated total energy (eV per atom) = -8.971

Cell: 3.107 3.107 5.179 Å, 90.00 90.00 90.00°
Atoms (fractional coordinates):
1 Mo 0.000 0.000 0.236
2 Mo 0.000 0.000 0.764
3 Be 0.500 0.500 0.000
4 Fe 0.500 0.500 0.500

***

Record 4
Compound: BeFeMo3
Source: Alexandria
Functional: GGA-PBEsol
Structure: relaxed

Values from the calculation:
- formation energy (eV/atom) = 1.38
- symmetry = No. 221
- magnetization (μB per formula unit) = 0.00
- calculated total energy (eV per atom) = -8.269

Cell: 4.359 4.359 4.359 Å, 90.00 90.00 90.00°
Atoms (fractional coordinates):
1 Mo 0.000 0.000 0.500
2 Mo 0.000 0.500 0.000
3 Mo 0.500 0.000 0.000
4 Be 0.500 0.500 0.500
5 Fe 0.000 0.000 0.000